Entry 1:
The following is a DFT calculation (PBE) of a relaxed ZrNpIr crystal.

a b c (Å): 4.596 4.596 4.596
angles (deg): 60.00 60.00 60.00
Fractional positions:
Zr 0.000 0.000 0.000
Np 0.500 0.500 0.500
Ir 0.750 0.750 0.750

Results
calculated total energy = -10.1661 eV/atom
crystal system = cubic
energy of formation from the pure elements = -10.50 kJ per mole of atoms
symmetry = F-43m
E above lowest polymorph = 0.00 eV per formula unit

Entry 2:
The following is a DFT calculation (PBE) of a relaxed IrO2 crystal.

a b c (Å): 4.371 4.371 4.371
angles (deg): 90.00 90.00 90.00
Fractional positions:
Ir 0.250 0.250 0.250
Ir 0.750 0.750 0.750
O 0.000 0.000 0.000
O 0.000 0.500 0.500
O 0.500 0.000 0.500
O 0.500 0.500 0.000

Results
calculated total energy = -6.2540 eV/atom
crystal system = cubic
symmetry = Pn-3m